Computed, not measured: ZrTl2AgCl6 after structural relaxation at the PBE level of DFT.

Unit cell a=10.4537 b=10.4537 c=10.4537 alpha=90.00 beta=90.00 gamma=90.00
Closest atoms and distances in Å follow each position.
Space group Fm-3m (No. 225)
Unique sites:
Zr: 0.0000 0.0000 0.0000  6 Cl 2.54
Tl: 0.2500 0.2500 0.2500  12 Cl 3.70
Ag: 0.0000 0.0000 0.5000  6 Cl 2.69
Cl: 0.0000 0.0000 0.2427  1 Zr 2.54, 1 Ag 2.69

Values from the calculation:
ρ in kg/m³: 4771
E in eV/cell: -153.9
Magnetic moment in μB/atom: 0.1000